Below is a geometry-optimized Ho2Er5Hg structure, with properties calculated at the PBE level.

Lattice parameters (Å, degrees): 5.4889 6.9914 12.1074 90.00 90.00 90.00
Closest atoms and distances in Å follow each position.
Space group Amm2 (No. 38)
Unique sites:
Ho  0.0000  0.0000  0.0000 (multiplicity 2)  2 Hg 3.39, 10 Er 3.43-3.56
Ho  0.5000  0.0000  0.3415 (multiplicity 2)  10 Er 3.38-3.59, 2 Hg 3.50
Er  0.0000  0.0000  0.5041 (multiplicity 2)  8 Er 3.38-3.50, 4 Ho 3.38-3.50
Er  0.0000  0.2457  0.7551 (multiplicity 4)  2 Hg 3.38, 4 Ho 3.43-3.56, 6 Er 3.43-3.56
Er  0.5000  0.2436  0.5851 (multiplicity 4)  6 Er 3.38-3.59, 4 Ho 3.40-3.59, 2 Hg 3.48-3.51
Hg  0.5000  0.0000  0.8362 (multiplicity 2)  8 Er 3.38-3.51, 4 Ho 3.39-3.50

Output
magnetic moment: 1.91 μB per cell
formation enthalpy at 0 K: -0.038 eV/atom